# 1
An optimized crystal structure of Be4Ir. Source: Alexandria via LeMat-Bulk, functional GGA-PBE.

Cell lengths 6.089, 6.089, 6.089 Å; angles 152.35, 152.35, 39.50 degrees
Element x y z (fractional)
Be 0.101 0.101 0.000
Be 0.250 0.750 0.500
Be 0.750 0.250 0.500
Be 0.899 0.899 0.000
Ir 0.500 0.500 0.000

Summary:
ΔE_f in eV/atom: -0.047
V in Å³ per atom: 9.71
Total DFT energy (no corrections) in Ry/atom: -0.353
Relative energy among the computed polymorphs in meV per atom: 320
N(E_F) in states/eV/atom: 0.1189

***

# 2
An optimized crystal structure of PuNpBr. Source: Alexandria via LeMat-Bulk, functional GGA-PBE.

Cell lengths 3.461, 5.387, 7.821 Å; angles 89.60, 89.92, 71.28 degrees
Element x y z (fractional)
Pu 0.000 0.000 0.000
Pu 0.139 0.723 0.756
Np 0.355 0.291 0.893
Np 0.680 0.643 0.556
Br 0.222 0.560 0.242
Br 0.950 0.103 0.469

Summary:
V in Å³ per atom: 23.02
Total DFT energy (no corrections) in Ry/atom: -0.728
N(E_F) in states/eV/atom: 1.3285

***

# 3
An optimized crystal structure of Pm2Cd2Ga. Source: Alexandria via LeMat-Bulk, functional GGA-PBE.

Cell lengths 6.050, 6.050, 11.296 Å; angles 114.21, 114.21, 44.98 degrees
Element x y z (fractional)
Pm 0.016 0.016 0.337
Pm 0.189 0.189 0.109
Pm 0.811 0.811 0.891
Pm 0.984 0.984 0.663
Cd 0.352 0.352 0.443
Cd 0.474 0.474 0.116
Cd 0.526 0.526 0.884
Cd 0.648 0.648 0.557
Ga 0.278 0.278 0.670
Ga 0.722 0.722 0.330

Summary:
ΔE_f in eV/atom: -0.369
V in Å³ per atom: 26.19
Total DFT energy (no corrections) in Ry/atom: -0.238
Relative energy among the computed polymorphs in meV per atom: 0
N(E_F) in states/eV/atom: 0.9144

***

# 4
An optimized crystal structure of KAg2PtBr8. Source: Alexandria via LeMat-Bulk, functional GGA-PBE.

Cell lengths 6.862, 7.226, 9.091 Å; angles 100.47, 93.47, 110.06 degrees
Element x y z (fractional)
K 0.000 0.000 0.000
Ag 0.399 0.432 0.800
Ag 0.601 0.568 0.200
Pt 0.000 0.000 0.500
Br 0.052 0.767 0.279
Br 0.081 0.788 0.668
Br 0.380 0.216 0.532
Br 0.471 0.757 0.000
Br 0.529 0.243 0.000
Br 0.620 0.784 0.468
Br 0.919 0.212 0.332
Br 0.948 0.233 0.721

Summary:
V in Å³ per atom: 34.39
Total DFT energy (no corrections) in Ry/atom: -0.196
N(E_F) in states/eV/atom: 0.7433

***

# 5
An optimized crystal structure of TcSb2Se. Source: Alexandria via LeMat-Bulk, functional GGA-PBE.

Cell lengths 4.797, 4.797, 6.607 Å; angles 107.58, 107.58, 39.83 degrees
Element x y z (fractional)
Tc 0.000 0.000 0.000
Sb 0.370 0.370 0.652
Sb 0.569 0.569 0.367
Se 0.723 0.723 0.032

Summary:
V in Å³ per atom: 23.06
Total DFT energy (no corrections) in Ry/atom: -0.404
N(E_F) in states/eV/atom: 0.4989

***

# 6
An optimized crystal structure of Li2MgBe. Source: Alexandria via LeMat-Bulk, functional GGA-PBE.

Cell lengths 2.800, 4.635, 4.896 Å; angles 90.00, 97.33, 90.00 degrees
Element x y z (fractional)
Li 0.233 0.000 0.272
Li 0.767 0.000 0.728
Mg 0.500 0.500 0.000
Be 0.000 0.500 0.500

Summary:
ΔE_f in eV/atom: 0.208
V in Å³ per atom: 15.75
Total DFT energy (no corrections) in Ry/atom: -0.153
Relative energy among the computed polymorphs in meV per atom: 55
N(E_F) in states/eV/atom: 0.2920